TcSbTe2 | PBE-GGA | optimized geometry

```
TcSbTe2
1.0
0.0000 3.5673 3.5673
3.5673 0.0000 3.5673
3.5673 3.5673 0.0000
Tc Sb Te
1 1 2
direct
0.0000 0.0000 0.0000
0.2500 0.2500 0.2500
0.5000 0.5000 0.5000
0.7500 0.7500 0.7500
```

Summary:
Total moment in μB per cell: 1.15
Total energy in eV/atom: -4.503